# 1
ZrAlNi2 | SCAN | single point on PBEsol structure

Values from the calculation:
- total magnetization (μB/cell) = 0.0
- total DFT energy (no corrections) (eV per formula unit) = -72.8
- formation energy from the elements (meV/atom) = -508
- crystal system = orthorhombic

abc: 3.061 4.106 4.791
angles: 90.00 108.63 90.00
Fractional coordinates of all 4 atoms:
Ni 0.833 0.000 0.666
Ni 0.677 0.500 0.355
Al 0.396 0.500 0.791
Zr 0.105 0.000 0.209

***

# 2
Zr2AlNi | SCAN | single point on PBEsol structure

Values from the calculation:
- total magnetization (μB/cell) = 0.0
- total DFT energy (no corrections) (eV per formula unit) = -86.6
- formation energy from the elements (meV/atom) = -309
- crystal system = orthorhombic

abc: 3.151 4.795 4.795
angles: 107.41 90.00 90.00
Fractional coordinates of all 4 atoms:
Ni 0.500 0.000 0.000
Al 0.500 0.500 0.500
Zr 0.000 0.000 0.500
Zr 0.000 0.500 0.000

***

The highest total DFT energy (no corrections) belongs to which entry? ZrAlNi2

***

total magnetization of number 2 (Zr2AlNi)? 0.0 μB/cell

***

Look up the total magnetization of the first one. 0.0 μB/cell

***

Number 1 is which compound? ZrAlNi2